Entry 1:
Entry from the Alexandria database: an optimized crystal structure of CaAgH8Pd4 (GGA-PBE).

abc: 5.8123 5.8123 5.8123
angles: 60.10 60.10 60.10
Atoms (fractional coordinates):
Ca: 0.0000 0.0000 0.0000
Ag: 0.6237 0.6237 0.6237
H: 0.3617 0.3617 0.8577
H: 0.3617 0.8577 0.3617
H: 0.3823 0.3823 0.3823
H: 0.4587 0.8688 0.8688
H: 0.8439 0.8439 0.8439
H: 0.8577 0.3617 0.3617
H: 0.8688 0.4587 0.8688
H: 0.8688 0.8688 0.4587
Pd: 0.1304 0.6253 0.6253
Pd: 0.2532 0.2532 0.2532
Pd: 0.6253 0.1304 0.6253
Pd: 0.6253 0.6253 0.1304

Summary:
The value obtained for the uncorrected energy is -3.87 eV per atom. For the size of the total moment, the calculation gives 0.00 μB/f.u.



Entry 2:
Entry from the Alexandria database: an optimized crystal structure of CaAg2H8Pd3 (GGA-PBE).

abc: 5.8934 5.8934 5.8934
angles: 60.09 60.09 60.09
Atoms (fractional coordinates):
Ca: 0.0000 0.0000 0.0000
Ag: 0.3813 0.3813 0.3813
Ag: 0.7447 0.7447 0.7447
H: 0.1410 0.1410 0.5479
H: 0.1410 0.5479 0.1410
H: 0.1553 0.1553 0.1553
H: 0.1770 0.6382 0.6382
H: 0.5479 0.1410 0.1410
H: 0.6084 0.6084 0.6084
H: 0.6382 0.1770 0.6382
H: 0.6382 0.6382 0.1770
Pd: 0.3790 0.3790 0.8762
Pd: 0.3790 0.8762 0.3790
Pd: 0.8762 0.3790 0.3790

Summary:
The value obtained for the uncorrected energy is -3.65 eV per atom. For the size of the total moment, the calculation gives 0.00 μB/f.u.



Entry 3:
Entry from the Alexandria database: an optimized crystal structure of Ca2AgHPd6 (GGA-PBE).

abc: 6.3827 6.3889 6.3899
angles: 119.95 119.92 90.02
Atoms (fractional coordinates):
Ca: 0.2501 0.2502 0.0002
Ca: 0.7499 0.7498 0.9998
Ag: 0.0000 0.5000 0.5000
H: 0.5000 0.0000 0.5000
Pd: 0.2829 0.2167 0.5000
Pd: 0.2830 0.7830 0.0656
Pd: 0.2830 0.7832 0.4999
Pd: 0.7170 0.2168 0.5001
Pd: 0.7170 0.2170 0.9344
Pd: 0.7171 0.7833 0.5000

Summary:
The value obtained for the uncorrected energy is -4.42 eV per atom. For the size of the total moment, the calculation gives 0.00 μB/f.u.



Entry 4:
Entry from the Alexandria database: an optimized crystal structure of Ca2AgHPt (GGA-PBE).

abc: 4.9229 4.9229 3.8564
angles: 90.00 90.00 90.00
Atoms (fractional coordinates):
Ca: 0.0000 0.5000 0.0000
Ca: 0.5000 0.0000 0.0000
Ag: 0.0000 0.0000 0.5000
H: 0.0000 0.0000 0.0000
Pt: 0.5000 0.5000 0.5000

Summary:
The value obtained for the uncorrected energy is -3.75 eV per atom. For the size of the total moment, the calculation gives 0.00 μB/f.u. The value obtained for the distance to the lowest polymorph of the same formula is 0.30 eV per formula unit.



Entry 5:
Entry from the Alexandria database: an optimized crystal structure of Ca2AgH6Pt (GGA-PBE).

abc: 5.0975 5.0975 5.2714
angles: 90.00 90.00 120.00
Atoms (fractional coordinates):
Ca: 0.3333 0.6667 0.2262
Ca: 0.6667 0.3333 0.7738
Ag: 0.0000 0.0000 0.5000
H: 0.1688 0.3376 0.7962
H: 0.1688 0.8312 0.7962
H: 0.3376 0.1688 0.2038
H: 0.6624 0.8312 0.7962
H: 0.8312 0.1688 0.2038
H: 0.8312 0.6624 0.2038
Pt: 0.0000 0.0000 0.0000

Summary:
The value obtained for the uncorrected energy is -3.52 eV per atom. For the size of the total moment, the calculation gives 0.00 μB/f.u.



Entry 6:
Entry from the Alexandria database: an optimized crystal structure of Ca2AgHPt (GGA-PBE).

abc: 5.1755 5.1755 3.5885
angles: 90.00 90.00 90.00
Atoms (fractional coordinates):
Ca: 0.0000 0.5000 0.0000
Ca: 0.5000 0.0000 0.0000
Ag: 0.0000 0.0000 0.5000
H: 0.5000 0.5000 0.0000
Pt: 0.5000 0.5000 0.5000

Summary:
The value obtained for the uncorrected energy is -3.81 eV per atom. For the size of the total moment, the calculation gives 0.00 μB/f.u. The value obtained for the distance to the lowest polymorph of the same formula is 0.00 eV per formula unit.